Entry from the Alexandria database: a geometry-optimized LiCr2MoAs structure (GGA-PBE).

Values from the calculation:
The calculated formation energy is 1.187 eV/atom. For the total DFT energy (no corrections), the calculation gives -30.71 eV for the cell shown.

Cell lengths 4.1637, 4.1637, 4.3221 Å; angles 90.00, 90.00, 90.00 degrees
Sites, in units of the cell vectors:
Li (0.0000, 0.0000, 0.0000)
Cr (0.0000, 0.5000, 0.0000)
Cr (0.5000, 0.0000, 0.0000)
Mo (0.0000, 0.0000, 0.5000)
As (0.5000, 0.5000, 0.5000)